A geometry-optimized ThScP2 structure. Source: Alexandria via LeMat-Bulk, functional GGA-PBE.

Results
Calculated formation energy = -1.454 eV/atom
Offset from the most stable computed form = 0.169 eV per formula unit
Symmetry = P6_3/mmc (194)
ρ = 6.45 Mg/m³

Unit cell a=3.9157 b=3.9157 c=13.1473 alpha=90.00 beta=90.00 gamma=120.00
Positions (direct):
Th 0.3333 0.6667 0.2500
Th 0.6667 0.3333 0.7500
Sc 0.0000 0.0000 0.0000
Sc 0.0000 0.0000 0.5000
P 0.3333 0.6667 0.6115
P 0.3333 0.6667 0.8885
P 0.6667 0.3333 0.1115
P 0.6667 0.3333 0.3885

A geometry-optimized TbNd2SmHo5 structure. Source: Alexandria via LeMat-Bulk, functional GGA-PBE.

Results
Calculated formation energy = 0.264 eV/atom
Symmetry = I4/mcm (140)
ρ = 8.06 Mg/m³

Unit cell a=9.9148 b=9.9148 c=9.9148 alpha=128.11 beta=128.11 gamma=76.44
Positions (direct):
Tb 0.2500 0.7500 0.5000
Tb 0.7500 0.2500 0.5000
Nd 0.1174 0.6174 0.7348
Nd 0.3826 0.1174 0.5000
Nd 0.6174 0.8826 0.5000
Nd 0.8826 0.3826 0.2652
Sm 0.2500 0.2500 0.0000
Sm 0.7500 0.7500 0.0000
Ho 0.0000 0.0000 0.0000
Ho 0.0721 0.1504 0.5000
Ho 0.1504 0.6504 0.0784
Ho 0.3496 0.4279 0.5000
Ho 0.4279 0.9279 0.0784
Ho 0.5000 0.5000 0.0000
Ho 0.5721 0.0721 0.9216
Ho 0.6504 0.5721 0.5000
Ho 0.8496 0.3496 0.9216
Ho 0.9279 0.8496 0.5000

A geometry-optimized Dy3Cu2 structure. Source: Alexandria via LeMat-Bulk, functional GGA-PBE.

Results
Calculated formation energy = -0.194 eV/atom
Offset from the most stable computed form = 0.000 eV per formula unit
Symmetry = P4/mmm (123)
ρ = 8.91 Mg/m³

Unit cell a=3.4722 b=3.4722 c=19.0005 alpha=90.00 beta=90.00 gamma=90.00
Positions (direct):
Dy 0.0000 0.0000 0.0000
Dy 0.0000 0.0000 0.1833
Dy 0.0000 0.0000 0.3644
Dy 0.0000 0.0000 0.6356
Dy 0.0000 0.0000 0.8167
Dy 0.5000 0.5000 0.5000
Cu 0.5000 0.5000 0.0915
Cu 0.5000 0.5000 0.2741
Cu 0.5000 0.5000 0.7259
Cu 0.5000 0.5000 0.9085